Record 1
{"formula": "Tl2CoGeI", "functional": "PBE-GGA", "state": "relaxed", "cell": [[6.4240, 0.0000, 0.0000], [0.0000, 6.4240, 0.0000], [0.0000, 0.0000, 4.6126]], "species": ["Tl", "Tl", "Co", "Ge", "I"], "fractional_positions": [[0.0000, 0.5000, 0.0000], [0.5000, 0.0000, 0.0000], [0.0000, 0.0000, 0.5000], [0.5000, 0.5000, 0.5000], [0.0000, 0.0000, 0.0000]], "dos_at_fermi_per_ev_fu": 3.64, "formation_energy_uncorrected_ev_per_fu": 4.71, "e_tot_ev_per_cell": -13.30, "spacegroup": "P4/mmm"}


Record 2
{"formula": "In2CoGe2", "functional": "PBE-GGA", "state": "relaxed", "cell": [[6.2923, 0.0000, 0.0000], [0.0000, 6.2923, 0.0000], [0.0000, 0.0000, 4.9571]], "species": ["In", "In", "In", "In", "Co", "Co", "Ge", "Ge", "Ge", "Ge"], "fractional_positions": [[0.1792, 0.3208, 0.0000], [0.3208, 0.8208, 0.0000], [0.6792, 0.1792, 0.0000], [0.8208, 0.6792, 0.0000], [0.0000, 0.0000, 0.5000], [0.5000, 0.5000, 0.5000], [0.1505, 0.6505, 0.5000], [0.3495, 0.1505, 0.5000], [0.6505, 0.8495, 0.5000], [0.8495, 0.3495, 0.5000]], "dos_at_fermi_per_ev_fu": 2.71, "formation_energy_ev_per_atom": 0.153, "e_tot_ev_per_cell": -42.10, "spacegroup": "P4/mbm"}


Record 3
{"formula": "In3CoGe", "functional": "PBE-GGA", "state": "relaxed", "cell": [[4.9226, 0.0000, 0.0000], [0.0000, 4.9226, 0.0000], [0.0000, 0.0000, 4.9226]], "species": ["In", "In", "In", "Co", "Ge"], "fractional_positions": [[0.0000, 0.0000, 0.5000], [0.0000, 0.5000, 0.0000], [0.5000, 0.0000, 0.0000], [0.0000, 0.0000, 0.0000], [0.5000, 0.5000, 0.5000]], "de_polymorph_kj_per_mol_atoms": 0.0, "dos_at_fermi_per_ev_fu": 4.48, "formation_energy_ev_per_atom": 0.287, "e_tot_ev_per_cell": -18.51, "spacegroup": "Pm-3m"}


Record 4
{"formula": "In2CoGe", "functional": "PBE-GGA", "state": "relaxed", "cell": [[-4.8682, 4.8682, 2.2398], [4.8682, -4.8682, 2.2398], [4.8682, 4.8682, -2.2398]], "species": ["In", "In", "In", "In", "Co", "Co", "Ge", "Ge"], "fractional_positions": [[0.3750, 0.1243, 0.2493], [0.8743, 0.6250, 0.7493], [0.8750, 0.1257, 0.7507], [0.8757, 0.1250, 0.2507], [0.0000, 0.0000, 0.0000], [0.7500, 0.2500, 0.5000], [0.2500, 0.7500, 0.5000], [0.5000, 0.5000, 0.0000]], "dos_at_fermi_per_ev_fu": 3.45, "formation_energy_ev_per_atom": 0.094, "e_tot_ev_per_cell": -33.65, "spacegroup": "I-42d"}